No. 1
First-principles (PBE) data for a relaxed structure of ZrTiGaAg, as listed in the Alexandria database.

```
ZrTiGaAg
1.0
0.000 3.321 3.321
3.321 0.000 3.321
3.321 3.321 0.000
Zr Ti Ga Ag
1 1 1 1
Cartesian
0.000 0.000 0.000
3.321 3.321 3.321
1.660 1.660 1.660
4.981 4.981 4.981
```

Symmetry: F-43m, No. 216
Raw total energy, eV per atom: -5.777
DFT formation energy, eV/atom: -0.20
M_tot, μB per formula unit: 0.0
V, A^3/atom: 18.31

---

No. 2
First-principles (PBE) data for a relaxed structure of Ca6Ag2H, as listed in the Alexandria database.

```
Ca6Ag2H
1.0
6.777 0.000 0.000
0.000 7.824 0.000
-6.541 0.000 9.922
Ca Ag H
12 4 2
Cartesian
-2.110 1.381 4.409
-5.380 2.531 9.370
-0.980 5.362 4.384
-4.250 6.374 9.345
0.889 0.216 2.524
-2.381 3.696 7.485
2.617 4.128 2.437
-0.654 7.608 7.398
4.486 1.450 0.577
1.215 2.462 5.538
5.616 5.293 0.552
2.346 6.443 5.513
-3.545 0.875 7.427
-0.275 3.037 2.466
0.511 4.787 7.456
3.781 6.949 2.495
0.118 0.000 4.961
3.388 3.912 0.000
```

Symmetry: P2_1/c, No. 14
Raw total energy, eV per atom: -2.585
M_tot, μB per formula unit: 0.0
V, A^3/atom: 29.23

---

No. 3
First-principles (PBE) data for a relaxed structure of KGeBi, as listed in the Alexandria database.

```
KGeBi
1.0
-2.464 3.832 5.671
2.464 -3.832 5.671
2.464 3.832 -5.671
K Ge Bi
2 2 2
Cartesian
1.058 0.000 2.836
-1.058 3.832 2.836
2.464 1.916 5.346
0.000 1.916 5.997
3.697 0.885 0.000
1.232 2.947 0.000
```

Symmetry: I2_12_12_1, No. 24
E above lowest polymorph, kcal/mol of atoms: 0.89
Raw total energy, eV per atom: -3.247
DFT formation energy, eV/atom: -0.05
M_tot, μB per formula unit: 0.0
V, A^3/atom: 35.70

---

> What is the V in the third record?

35.70 A^3/atom